A relaxed structure of CrSiAs2, computed with PBE.

## Properties
Formation energy from raw total energies   6.281 kcal/mol of atoms
Space-group type   C2/m (12)
Total moment   3.12 Bohr magnetons per cell

Lattice parameters (Å, degrees): 4.5225 4.5225 4.3208 108.43 108.43 106.70
Closest atoms and distances in Å follow each position.
Atoms (fractional coordinates):
Cr1 0.0000 0.0000 0.0000  4 As 2.59, 2 Si 2.70
Si1 0.5000 0.5000 0.0000  4 As 2.59, 2 Cr 2.70
As1 0.0000 0.5000 0.5000  2 Cr 2.59, 2 Si 2.59, 2 As 2.70
As2 0.5000 0.0000 0.5000  2 Cr 2.59, 2 Si 2.59, 2 As 2.70